1.
Here is an optimized crystal structure of Ho2ErPaTc2 from Alexandria via LeMat-Bulk. Energies are from GGA-PBE.

Summary:
Magnetic moment ... 0.0 Bohr magnetons per cell

Cell lengths 8.4380, 8.4380, 8.4380 Å; angles 134.35, 66.46, 134.45 degrees
Fractional coordinates of all 12 atoms:
Ho  0.1892  0.2459  0.4351
Ho  0.3108  0.7459  0.0567
Ho  0.6892  0.2541  0.9433
Ho  0.8108  0.7541  0.5649
Er  0.2500  0.7500  0.5000
Er  0.7500  0.2500  0.5000
Pa  0.2500  0.2500  0.0000
Pa  0.7500  0.7500  0.0000
Tc  0.1087  0.8005  0.9091
Tc  0.3913  0.3005  0.6918
Tc  0.6087  0.6995  0.3082
Tc  0.8913  0.1995  0.0909

2.
Here is an optimized crystal structure of Ho5Er3Pb2 from Alexandria via LeMat-Bulk. Energies are from GGA-PBE.

Summary:
Magnetic moment ... 0.0 Bohr magnetons per cell

Cell lengths 10.6311, 10.6311, 10.6311 Å; angles 106.45, 83.86, 145.46 degrees
Fractional coordinates of all 20 atoms:
Ho  0.1658  0.1012  0.2671
Ho  0.2500  0.0014  0.7514
Ho  0.2500  0.2500  0.0000
Ho  0.2500  0.4986  0.2486
Ho  0.3342  0.6012  0.9354
Ho  0.6658  0.3988  0.0646
Ho  0.7500  0.5014  0.7514
Ho  0.7500  0.7500  0.0000
Ho  0.7500  0.9986  0.2486
Ho  0.8342  0.8988  0.7329
Er  0.2062  0.3823  0.5885
Er  0.2500  0.7500  0.5000
Er  0.2938  0.8823  0.1761
Er  0.7062  0.1177  0.8239
Er  0.7500  0.2500  0.5000
Er  0.7938  0.6177  0.4115
Pb  0.1483  0.6429  0.7911
Pb  0.3517  0.1429  0.4946
Pb  0.6483  0.8571  0.5054
Pb  0.8517  0.3571  0.2089

3.
Here is an optimized crystal structure of Ho2Er2Pb from Alexandria via LeMat-Bulk. Energies are from GGA-PBE.

Summary:
Magnetic moment ... 0.0 Bohr magnetons per cell

Cell lengths 11.8817, 6.1708, 8.5928 Å; angles 90.00, 110.99, 90.00 degrees
Fractional coordinates of all 20 atoms:
Ho  0.1527  0.0941  0.0584
Ho  0.1527  0.4059  0.5584
Ho  0.2508  0.5767  0.2521
Ho  0.2508  0.9233  0.7521
Ho  0.7492  0.0767  0.2479
Ho  0.7492  0.4233  0.7479
Ho  0.8473  0.5941  0.4416
Ho  0.8473  0.9059  0.9416
Er  0.0509  0.5836  0.8554
Er  0.0509  0.9164  0.3554
Er  0.4574  0.6238  0.6567
Er  0.4574  0.8762  0.1568
Er  0.5426  0.1238  0.8432
Er  0.5426  0.3762  0.3432
Er  0.9491  0.0836  0.6446
Er  0.9491  0.4164  0.1446
Pb  0.3424  0.0915  0.4478
Pb  0.3424  0.4085  0.9478
Pb  0.6576  0.5915  0.0522
Pb  0.6576  0.9085  0.5522

4.
Here is an optimized crystal structure of HoEr3Pb from Alexandria via LeMat-Bulk. Energies are from GGA-PBE.

Summary:
Magnetic moment ... 0.0 Bohr magnetons per cell
Energy above the most stable polymorph in this dataset ... 0.0000 eV/atom

Cell lengths 6.1883, 5.4895, 8.9972 Å; angles 90.00, 107.78, 90.00 degrees
Fractional coordinates of all 10 atoms:
Ho  0.0166  0.2500  0.3865
Ho  0.9834  0.7500  0.6135
Er  0.1618  0.7500  0.0060
Er  0.2540  0.2500  0.7907
Er  0.3543  0.7500  0.3974
Er  0.6457  0.2500  0.6026
Er  0.7460  0.7500  0.2093
Er  0.8382  0.2500  0.9940
Pb  0.4278  0.2500  0.1920
Pb  0.5722  0.7500  0.8080

5.
Here is an optimized crystal structure of Ho5ErPb6 from Alexandria via LeMat-Bulk. Energies are from GGA-PBE.

Summary:
Magnetic moment ... 0.0 Bohr magnetons per cell

Cell lengths 8.2439, 8.2439, 7.6773 Å; angles 95.03, 95.03, 136.54 degrees
Fractional coordinates of all 12 atoms:
Ho  0.0000  0.0000  0.0000
Ho  0.3328  0.6672  0.0000
Ho  0.3337  0.6663  0.5000
Ho  0.6663  0.3337  0.5000
Ho  0.6672  0.3328  0.0000
Er  0.0000  0.0000  0.5000
Pb  0.1661  0.8335  0.2508
Pb  0.1665  0.8339  0.7492
Pb  0.4986  0.4986  0.7506
Pb  0.5014  0.5014  0.2494
Pb  0.8335  0.1661  0.2508
Pb  0.8339  0.1665  0.7492

6.
Here is an optimized crystal structure of HoErPb6 from Alexandria via LeMat-Bulk. Energies are from GGA-PBE.

Summary:
Magnetic moment ... 0.0 Bohr magnetons per cell

Cell lengths 4.8696, 4.8696, 9.7440 Å; angles 90.00, 90.00, 90.00 degrees
Fractional coordinates of all 8 atoms:
Ho  0.0000  0.0000  0.0000
Er  0.0000  0.0000  0.5000
Pb  0.0000  0.5000  0.2504
Pb  0.0000  0.5000  0.7496
Pb  0.5000  0.0000  0.2504
Pb  0.5000  0.0000  0.7496
Pb  0.5000  0.5000  0.0000
Pb  0.5000  0.5000  0.5000

| no. | N(E_F) (states/eV/f.u.) | E_tot (eV/atom) |
| --- | --- | --- |
| 1 | 5.59 | -7.384 |
| 2 | 11.59 | -4.311 |
| 3 | 6.26 | -4.569 |
| 4 | 6.02 | -4.572 |
| 5 | 7.59 | -4.556 |
| 6 | 4.77 | -4.172 |